A plane-wave DFT calculation with PBE was carried out for a relaxed structure of Sm2Zn5PtRh2.

a b c (Å): 9.6823 9.6823 3.8236
angles (deg): 90.00 90.00 90.00
With the nearest neighbours (Å) after each atom.
Space group P4/mbm (No. 127)
Inequivalent atoms, fractional coordinates:
Sm1 0.1793 0.3207 0.0000  3 Rh 2.71-2.98
Zn1 0.0000 0.5000 0.5000  4 Rh 2.55
Zn2 0.0533 0.8083 0.5000  2 Rh 2.71, 2 Pt 2.71, 3 Zn 2.73-3.03
Pt1 0.0000 0.0000 0.0000  8 Zn 2.71
Rh1 0.1227 0.6227 0.0000  6 Zn 2.55-2.71, 1 Sm 2.71

Results
The total energy is -82.8 eV for the cell shown. For the formation energy, the calculation gives -4.9 eV per formula unit. As for the crystal system: tetragonal. Its magnetic moment is 0.00 μB/cell.

A plane-wave DFT calculation with PBE was carried out for a relaxed structure of KAlTl2.

a b c (Å): 7.0029 11.0073 3.4036
angles (deg): 90.00 113.32 90.00
With the nearest neighbours (Å) after each atom.
Space group C2/m (No. 12)
Inequivalent atoms, fractional coordinates:
K1 0.0000 0.0000 0.0000  4 Tl 3.34, 2 K 3.40, 2 Al 3.50
Al1 0.0000 0.5000 0.0000  4 Tl 3.34, 2 Al 3.40, 2 K 3.50
Tl1 0.2500 0.2500 0.5000  2 K 3.34, 2 Al 3.34, 4 Tl 3.40-3.50

Results
The total energy is -17.5 eV for the cell shown. For the formation energy, the calculation gives 0.8 eV per formula unit. As for the crystal system: monoclinic. Its magnetic moment is 0.00 μB/cell.

A plane-wave DFT calculation with PBE was carried out for a relaxed structure of AgAs2BrF.

a b c (Å): 4.2989 4.2989 6.2679
angles (deg): 90.00 90.00 90.00
With the nearest neighbours (Å) after each atom.
Space group P4/mmm (No. 123)
Inequivalent atoms, fractional coordinates:
Ag1 0.0000 0.0000 0.0000  4 Br 3.04
As1 0.0000 0.5000 0.5000  2 F 2.15
Br1 0.5000 0.5000 0.0000  4 Ag 3.04, 2 F 3.13
F1 0.5000 0.5000 0.5000  4 As 2.15

Results
The total energy is -14.6 eV for the cell shown. For the uncorrected formation energy, the calculation gives 0.226 eV/atom. As for the crystal system: tetragonal. Its magnetic moment is 0.00 μB/cell.

A plane-wave DFT calculation with PBE was carried out for a relaxed structure of NdMgZn2Pd2.

a b c (Å): 4.4442 4.4442 6.7467
angles (deg): 90.00 90.00 120.00
With the nearest neighbours (Å) after each atom.
Space group P-3m1 (No. 164)
Inequivalent atoms, fractional coordinates:
Nd1 0.0000 0.0000 0.0000  6 Zn 3.25, 6 Pd 3.26, 2 Mg 3.37
Mg1 0.0000 0.0000 0.5000  6 Pd 2.90, 6 Zn 2.91
Zn1 0.3333 0.6667 0.2959  4 Pd 2.57-2.74
Pd1 0.3333 0.6667 0.7014  4 Zn 2.57-2.74

Results
The total energy is -22.9 eV for the cell shown. For the formation energy, the calculation gives -3.6 eV per formula unit. As for the crystal system: trigonal. Its magnetic moment is 0.00 μB/cell.

A plane-wave DFT calculation with PBE was carried out for a relaxed structure of LiCaLaBi.

a b c (Å): 7.8284 7.8284 7.8284
angles (deg): 90.00 90.00 90.00
With the nearest neighbours (Å) after each atom.
Space group F-43m (No. 216)
Inequivalent atoms, fractional coordinates:
Li1 0.0000 0.0000 0.0000  4 Ca 3.39, 4 La 3.39
Ca1 0.2500 0.2500 0.7500  4 Li 3.39, 4 Bi 3.39
La1 0.2500 0.2500 0.2500  4 Li 3.39, 4 Bi 3.39
Bi1 0.0000 0.0000 0.5000  4 La 3.39, 4 Ca 3.39

Results
The total energy is -57.5 eV for the cell shown. For the formation energy, the calculation gives -1.7 eV per formula unit. As for the crystal system: cubic. Its magnetic moment is 0.04 μB/cell.

A plane-wave DFT calculation with PBE was carried out for a relaxed structure of Mg3Cr5.

a b c (Å): 6.5843 9.0341 4.4244
angles (deg): 90.00 90.00 90.00
With the nearest neighbours (Å) after each atom.
Space group Cmmm (No. 65)
Inequivalent atoms, fractional coordinates:
Mg1 0.0000 0.0000 0.0000  8 Cr 2.79-2.87, 4 Mg 3.11
Mg2 0.0000 0.2427 0.5000  8 Cr 2.75-2.85
Cr1 0.0000 0.5000 0.0000  8 Cr 2.65-2.79
Cr2 0.2226 0.5000 0.5000  3 Cr 2.65-2.93, 6 Mg 2.75-2.87
Cr3 0.2500 0.2500 0.0000  6 Mg 2.76-2.79, 2 Cr 2.79

Results
The total energy is -97.6 eV for the cell shown. For the formation energy, the calculation gives 4.1 eV per formula unit. As for the crystal system: orthorhombic. Its magnetic moment is 21.88 μB/cell.

A plane-wave DFT calculation with PBE was carried out for a relaxed structure of CaAc8La2.

a b c (Å): 6.0117 9.9133 16.2986
angles (deg): 90.00 90.00 90.00
With the nearest neighbours (Å) after each atom.
Space group Immm (No. 71)
Inequivalent atoms, fractional coordinates:
Ca1 0.0000 0.0000 0.0000  8 Ac 3.82-3.85
Ac1 0.0000 0.1830 0.5000  7 Ac 3.63-3.93, 2 La 3.87
Ac2 0.0000 0.2933 0.1549  3 La 3.65-3.75, 1 Ca 3.85, 3 Ac 3.86-3.93
Ac3 0.0000 0.5000 0.3556  2 Ca 3.82, 2 La 3.83, 8 Ac 3.86-4.19
La1 0.0000 0.0000 0.2903  10 Ac 3.65-3.87

Results
The total energy is -86.9 eV for the cell shown. For the formation energy, the calculation gives 1.3 eV per formula unit. As for the crystal system: orthorhombic. Its magnetic moment is 0.00 μB/cell.

A plane-wave DFT calculation with PBE was carried out for a relaxed structure of SrCdFe2.

a b c (Å): 3.1094 3.1094 28.9078
angles (deg): 90.00 90.00 120.00
With the nearest neighbours (Å) after each atom.
Space group R-3m (No. 166, hexagonal axes)
Inequivalent atoms, fractional coordinates:
Sr1 0.0000 0.0000 0.0000  6 Sr 3.11, 6 Fe 3.16
Cd1 0.0000 0.0000 0.5000  6 Fe 2.86, 6 Cd 3.11
Fe1 0.0000 0.0000 0.2435  3 Cd 2.86, 6 Fe 3.11, 3 Sr 3.16

Results
The total energy is -47.9 eV for the cell shown. For the formation energy, the calculation gives 3.6 eV per formula unit. As for the crystal system: trigonal. Its magnetic moment is 15.53 μB/cell.

A plane-wave DFT calculation with PBE was carried out for a relaxed structure of TiPOsO2.

a b c (Å): 3.6392 3.6392 5.8538
angles (deg): 90.00 90.00 90.00
With the nearest neighbours (Å) after each atom.
Space group P4/mmm (No. 123)
Inequivalent atoms, fractional coordinates:
Ti1 0.0000 0.0000 0.0000  4 O 1.82
P1 0.0000 0.0000 0.5000  4 Os 2.57
Os1 0.5000 0.5000 0.5000  4 P 2.57
O1 0.0000 0.5000 0.0000  2 Ti 1.82

Results
The total energy is -37.5 eV for the cell shown. For the uncorrected formation energy, the calculation gives -0.601 eV/atom. As for the crystal system: tetragonal. Its magnetic moment is 2.23 μB/cell.

A plane-wave DFT calculation with PBE was carried out for a relaxed structure of BaZn2PtPb.

a b c (Å): 4.9958 4.9958 5.4578
angles (deg): 90.00 90.00 90.00
With the nearest neighbours (Å) after each atom.
Space group P4/mmm (No. 123)
Inequivalent atoms, fractional coordinates:
Ba1 0.0000 0.0000 0.0000  4 Pb 3.53, 8 Zn 3.70
Zn1 0.0000 0.5000 0.5000  2 Pt 2.50
Pt1 0.5000 0.5000 0.5000  4 Zn 2.50, 2 Pb 2.73
Pb1 0.5000 0.5000 0.0000  2 Pt 2.73

Results
The total energy is -15.8 eV for the cell shown. For the formation energy, the calculation gives -1.6 eV per formula unit. As for the crystal system: tetragonal. Its magnetic moment is 0.00 μB/cell.

A plane-wave DFT calculation with PBE was carried out for a relaxed structure of AgTeCl2.

a b c (Å): 7.0940 7.0940 7.0940
angles (deg): 90.00 90.00 90.00
With the nearest neighbours (Å) after each atom.
Space group F-43m (No. 216)
Inequivalent atoms, fractional coordinates:
Ag1 0.0000 0.0000 0.0000  4 Cl 3.07, 4 Te 3.07
Te1 0.2500 0.2500 0.7500  4 Cl 3.07, 4 Ag 3.07
Cl1 0.0000 0.0000 0.5000  4 Te 3.07, 4 Cl 3.07
Cl2 0.2500 0.2500 0.2500  4 Cl 3.07, 4 Ag 3.07

Results
The total energy is -34.9 eV for the cell shown. For the uncorrected formation energy, the calculation gives 0.242 eV/atom. As for the crystal system: cubic. Its magnetic moment is 0.00 μB/cell.

A plane-wave DFT calculation with PBE was carried out for a relaxed structure of MgSnHSe.

a b c (Å): 3.9564 3.8347 11.9865
angles (deg): 90.00 90.00 90.00
With the nearest neighbours (Å) after each atom.
Space group Amm2 (No. 38)
Inequivalent atoms, fractional coordinates:
Mg1 0.0000 0.0000 0.0000  2 H 1.94
Sn1 0.5000 0.0000 0.1983  2 Se 2.66
H1 0.0000 0.0000 0.5225  2 Mg 1.94
Se1 0.5000 0.0000 0.8517  2 Sn 2.66, 2 Mg 2.66

Results
The total energy is -26.9 eV for the cell shown. As for the crystal system: orthorhombic. Its magnetic moment is 0.00 μB/cell.

A plane-wave DFT calculation with PBE was carried out for a relaxed structure of AlAsSe2.

a b c (Å): 3.6324 3.6324 24.4234
angles (deg): 90.00 90.00 120.00
With the nearest neighbours (Å) after each atom.
Space group R-3m (No. 166, hexagonal axes)
Inequivalent atoms, fractional coordinates:
Al1 0.0000 0.0000 0.0000  6 Se 2.54
As1 0.0000 0.0000 0.5000  2 Se 2.63
Se1 0.0000 0.0000 0.3922  3 Al 2.54, 1 As 2.63

Results
The total energy is -49.8 eV for the cell shown. For the uncorrected formation energy, the calculation gives -0.311 eV/atom. As for the crystal system: trigonal. Its magnetic moment is 0.00 μB/cell.

A plane-wave DFT calculation with PBE was carried out for a relaxed structure of BeCd3Bi.

a b c (Å): 4.8784 4.8784 4.8784
angles (deg): 90.00 90.00 90.00
With the nearest neighbours (Å) after each atom.
Space group Pm-3m (No. 221)
Inequivalent atoms, fractional coordinates:
Be1 0.0000 0.0000 0.0000  6 Cd 2.44
Cd1 0.0000 0.0000 0.5000  2 Be 2.44
Bi1 0.5000 0.5000 0.5000  12 Cd 3.45

Results
The total energy is -8.6 eV for the cell shown. For the formation energy, the calculation gives 1.8 eV per formula unit. As for the crystal system: cubic. Its magnetic moment is 0.00 μB/cell.

A plane-wave DFT calculation with PBE was carried out for a relaxed structure of SrRuW2.

a b c (Å): 6.5592 6.5592 6.5592
angles (deg): 90.00 90.00 90.00
With the nearest neighbours (Å) after each atom.
Space group Fm-3m (No. 225)
Inequivalent atoms, fractional coordinates:
Sr1 0.0000 0.0000 0.0000  8 W 2.84
Ru1 0.0000 0.0000 0.5000  8 W 2.84
W1 0.2500 0.2500 0.2500  4 Ru 2.84, 4 Sr 2.84

Results
The total energy is -127.8 eV for the cell shown. For the formation energy, the calculation gives 4.9 eV per formula unit. As for the crystal system: cubic. Its magnetic moment is 0.00 μB/cell.

A plane-wave DFT calculation with PBE was carried out for a relaxed structure of GaFe2Sb.

a b c (Å): 5.9989 5.9989 5.9989
angles (deg): 90.00 90.00 90.00
With the nearest neighbours (Å) after each atom.
Space group Fm-3m (No. 225)
Inequivalent atoms, fractional coordinates:
Ga1 0.0000 0.0000 0.0000  8 Fe 2.60
Fe1 0.2500 0.2500 0.2500  4 Sb 2.60, 4 Ga 2.60
Sb1 0.0000 0.0000 0.5000  8 Fe 2.60

Results
The total energy is -93.9 eV for the cell shown. For the uncorrected formation energy, the calculation gives 0.152 eV/atom. As for the crystal system: cubic. Its magnetic moment is 0.00 μB/cell.

A plane-wave DFT calculation with PBE was carried out for a relaxed structure of KUN2.

a b c (Å): 3.5382 3.5382 19.5893
angles (deg): 90.00 90.00 120.00
With the nearest neighbours (Å) after each atom.
Space group R3m (No. 160, hexagonal axes)
Inequivalent atoms, fractional coordinates:
K1 0.0000 0.0000 0.0000  6 N 2.95-3.11
U1 0.0000 0.0000 0.1714  6 N 2.28-2.29
N1 0.0000 0.0000 0.5578  3 U 2.29
N2 0.0000 0.0000 0.7867  3 U 2.28

Results
The total energy is -98.4 eV for the cell shown. For the uncorrected formation energy, the calculation gives -0.944 eV/atom. As for the crystal system: trigonal. Its magnetic moment is 3.01 μB/cell.

A plane-wave DFT calculation with PBE was carried out for a relaxed structure of Mn2CuI6.

a b c (Å): 14.7008 15.6722 7.3579
angles (deg): 90.00 114.99 90.00
With the nearest neighbours (Å) after each atom.
Space group C2/c (No. 15)
Inequivalent atoms, fractional coordinates:
Mn1 0.2199 0.0818 0.3679  4 I 2.64-2.71
Cu1 0.0000 0.2935 0.2500  4 I 2.60
I1 0.0916 0.3886 0.5651  1 Cu 2.60, 1 Mn 2.64
I2 0.1130 0.2055 0.1266  1 Cu 2.60, 1 Mn 2.65
I3 0.1731 0.0726 0.6855  2 Mn 2.70-2.71

Results
The total energy is -138.1 eV for the cell shown. For the uncorrected formation energy, the calculation gives -0.309 eV/atom. As for the crystal system: monoclinic. Its magnetic moment is 35.96 μB/cell.

A plane-wave DFT calculation with PBE was carried out for a relaxed structure of Hf4Al2Si.

a b c (Å): 4.7238 4.7238 14.5159
angles (deg): 90.00 90.00 90.00
With the nearest neighbours (Å) after each atom.
Space group I4/mmm (No. 139)
Inequivalent atoms, fractional coordinates:
Hf1 0.0000 0.0000 0.1728  1 Si 2.51
Hf2 0.0000 0.5000 0.0000  2 Si 2.36
Al1 0.0000 0.0000 0.3688  5 Hf 2.85-3.03
Si1 0.0000 0.0000 0.0000  6 Hf 2.36-2.51

Results
The total energy is -102.1 eV for the cell shown. For the uncorrected formation energy, the calculation gives 0.236 eV/atom. As for the crystal system: tetragonal. Its magnetic moment is 0.00 μB/cell.

A plane-wave DFT calculation with PBE was carried out for a relaxed structure of Ce6Ir2RuI3.

a b c (Å): 7.1766 12.4296 8.3304
angles (deg): 90.00 106.69 90.00
With the nearest neighbours (Å) after each atom.
Space group C2/m (No. 12)
Inequivalent atoms, fractional coordinates:
Ce1 0.2265 0.1648 0.1851  1 Ru 2.79, 2 Ir 2.82
Ce2 0.2321 0.5000 0.1852  1 Ru 2.79, 2 Ir 2.82
Ir1 0.0000 0.3333 0.0000  6 Ce 2.82
Ru1 0.0000 0.0000 0.0000  6 Ce 2.79
I1 0.0000 0.1668 0.5000  6 Ce 3.46-3.49
I2 0.0000 0.5000 0.5000  6 Ce 3.46-3.49

Results
The total energy is -154.6 eV for the cell shown. For the uncorrected formation energy, the calculation gives -0.839 eV/atom. As for the crystal system: monoclinic. Its magnetic moment is 9.74 μB/cell.